The following is a DFT calculation (GGA-PBE) of a relaxed structure of Tm3PtSe2.

Summary:
Space group = Fddd (70)
Energy relative to the elements, uncorrected = -1.560 eV/atom
Raw total energy = -143.14 eV for the cell shown
Size of the total moment = 0.000 μB per cell

abc: 13.273 12.666 7.108
angles: 78.87 69.44 31.70
Element x y z (fractional)
1 Tm 0.036 0.540 0.194
2 Tm 0.110 0.640 0.640
3 Tm 0.194 0.730 0.036
4 Tm 0.270 0.806 0.460
5 Tm 0.360 0.890 0.890
6 Tm 0.460 0.964 0.270
7 Tm 0.540 0.036 0.730
8 Tm 0.640 0.110 0.110
9 Tm 0.730 0.194 0.540
10 Tm 0.806 0.270 0.964
11 Tm 0.890 0.360 0.360
12 Tm 0.964 0.460 0.806
13 Pt 0.042 0.042 0.208
14 Pt 0.208 0.208 0.042
15 Pt 0.792 0.792 0.958
16 Pt 0.958 0.958 0.792
17 Se 0.128 0.128 0.622
18 Se 0.295 0.295 0.455
19 Se 0.378 0.378 0.872
20 Se 0.455 0.455 0.295
21 Se 0.545 0.545 0.705
22 Se 0.622 0.622 0.128
23 Se 0.705 0.705 0.545
24 Se 0.872 0.872 0.378

---

The following is a DFT calculation (GGA-PBE) of a relaxed structure of Tm4PtSe3.

Summary:
Space group = Cmmm (65)
Energy relative to the elements, uncorrected = -1.587 eV/atom
Raw total energy = -47.08 eV for the cell shown
Size of the total moment = 0.000 μB per cell

abc: 7.120 7.120 3.955
angles: 90.00 90.00 108.69
Element x y z (fractional)
1 Tm 0.229 0.229 0.500
2 Tm 0.242 0.758 0.000
3 Tm 0.758 0.242 0.000
4 Tm 0.771 0.771 0.500
5 Pt 0.000 0.000 0.000
6 Se 0.000 0.500 0.500
7 Se 0.500 0.000 0.500
8 Se 0.500 0.500 0.000

---

The following is a DFT calculation (GGA-PBE) of a relaxed structure of Tm2PtSe.

Summary:
Space group = R-3m (166)
Energy relative to the elements, uncorrected = -1.475 eV/atom
Distance to the lowest polymorph of the same formula = 0.0 meV per atom
Raw total energy = -24.37 eV for the cell shown
Size of the total moment = 0.000 μB per cell

abc: 7.382 7.382 7.382
angles: 31.10 31.10 31.10
Element x y z (fractional)
1 Tm 0.243 0.243 0.243
2 Tm 0.757 0.757 0.757
3 Pt 0.500 0.500 0.500
4 Se 0.000 0.000 0.000

---

The following is a DFT calculation (GGA-PBE) of a relaxed structure of Tm5Pt2Se2.

Summary:
Space group = Cmce (64)
Energy relative to the elements, uncorrected = -1.361 eV/atom
Raw total energy = -107.31 eV for the cell shown
Size of the total moment = 0.000 μB per cell

abc: 8.319 8.319 7.545
angles: 90.00 90.00 53.74
Element x y z (fractional)
1 Tm 0.000 0.000 0.000
2 Tm 0.032 0.710 0.656
3 Tm 0.210 0.532 0.156
4 Tm 0.290 0.968 0.656
5 Tm 0.468 0.790 0.156
6 Tm 0.500 0.500 0.500
7 Tm 0.532 0.210 0.844
8 Tm 0.710 0.032 0.344
9 Tm 0.790 0.468 0.844
10 Tm 0.968 0.290 0.344
11 Pt 0.140 0.860 0.362
12 Pt 0.360 0.640 0.862
13 Pt 0.640 0.360 0.138
14 Pt 0.860 0.140 0.638
15 Se 0.206 0.206 0.000
16 Se 0.294 0.294 0.500
17 Se 0.706 0.706 0.500
18 Se 0.794 0.794 0.000

---

The following is a DFT calculation (GGA-PBE) of a relaxed structure of Tm6PtSe4.

Summary:
Space group = Cmcm (63)
Energy relative to the elements, uncorrected = -1.497 eV/atom
Raw total energy = -126.55 eV for the cell shown
Size of the total moment = 0.000 μB per cell

abc: 6.861 6.861 20.459
angles: 90.00 90.00 146.85
Element x y z (fractional)
1 Tm 0.000 0.000 0.000
2 Tm 0.000 0.000 0.500
3 Tm 0.177 0.823 0.750
4 Tm 0.269 0.731 0.098
5 Tm 0.269 0.731 0.402
6 Tm 0.435 0.565 0.669
7 Tm 0.435 0.565 0.831
8 Tm 0.565 0.435 0.169
9 Tm 0.565 0.435 0.331
10 Tm 0.731 0.269 0.598
11 Tm 0.731 0.269 0.902
12 Tm 0.823 0.177 0.250
13 Pt 0.169 0.831 0.250
14 Pt 0.831 0.169 0.750
15 Se 0.082 0.918 0.625
16 Se 0.082 0.918 0.875
17 Se 0.357 0.643 0.536
18 Se 0.357 0.643 0.964
19 Se 0.643 0.357 0.036
20 Se 0.643 0.357 0.464
21 Se 0.918 0.082 0.125
22 Se 0.918 0.082 0.375

---

The following is a DFT calculation (GGA-PBE) of a relaxed structure of Tm2PtSe.

Summary:
Space group = R3m (160)
Energy relative to the elements, uncorrected = -1.446 eV/atom
Distance to the lowest polymorph of the same formula = 28.8 meV per atom
Raw total energy = -24.25 eV for the cell shown
Size of the total moment = 0.000 μB per cell

abc: 7.384 7.384 7.384
angles: 31.41 31.41 31.41
Element x y z (fractional)
1 Tm 0.000 0.000 0.000
2 Tm 0.185 0.185 0.185
3 Pt 0.593 0.593 0.593
4 Se 0.761 0.761 0.761